VASP calculation (PBE) on RbIn7Hg12 after structural relaxation.

Unit cell a=9.512 b=9.512 c=9.512 alpha=109.47 beta=109.47 gamma=109.47
Positions (direct):
Hg 0.657 0.228 0.885
Hg 0.343 0.772 0.115
Hg 0.772 0.115 0.343
Rb 0.000 0.000 0.000
In 0.500 0.500 0.000
Hg 0.228 0.885 0.657
In 0.500 0.000 0.000
Hg 0.772 0.428 0.657
In 0.000 0.500 0.000
Hg 0.657 0.772 0.428
In 0.500 0.500 0.500
In 0.000 0.000 0.500
Hg 0.228 0.572 0.343
Hg 0.885 0.657 0.228
Hg 0.572 0.343 0.228
In 0.000 0.500 0.500
In 0.500 0.000 0.500
Hg 0.115 0.343 0.772
Hg 0.428 0.657 0.772
Hg 0.343 0.228 0.572

Summary:
**E**: -22.86 eV per cell
**Space-group type**: Im-3, No. 204
**Formation energy from the elements**: 86.4 kJ/mol of formula units
**ΔE to the lowest computed polymorph**: 63.2 meV per atom